Entry 1:
Ho2FeTc: relaxed, GGA-PBE.

Values from the calculation:
Formation energy   633 meV/atom
Volume   21.9 Å³ per atom

Unit cell a=3.2404 b=3.2404 c=28.9237 alpha=90.00 beta=90.00 gamma=120.00
Space group R-3m (No. 166, hexagonal axes)
Asymmetric unit:
1 Ho 0.0000 0.0000 0.0939 (multiplicity 6)
2 Fe 0.0000 0.0000 0.0000 (multiplicity 3)
3 Tc 0.0000 0.0000 0.5000 (multiplicity 3)

---

Entry 2:
NaLi2PtCl8: relaxed, GGA-PBE.

Values from the calculation:
Volume   24.2 Å³ per atom
E_form (uncorrected)   -1.05 eV/atom

Unit cell a=5.709 b=6.420 c=7.989 alpha=90.02 beta=91.30 gamma=97.79
Space group P-1 (No. 2)
Asymmetric unit:
1 Na 0.000 0.000 0.000 (multiplicity 1)
2 Li 0.003 0.500 0.724 (multiplicity 2)
3 Pt 0.000 0.000 0.500 (multiplicity 1)
4 Cl 0.220 0.861 0.293 (multiplicity 2)
5 Cl 0.222 0.863 0.715 (multiplicity 2)
6 Cl 0.242 0.328 0.502 (multiplicity 2)
7 Cl 0.242 0.473 0.001 (multiplicity 2)

---

Entry 3:
Fe2PdW: relaxed, GGA-PBE.

Values from the calculation:
Energy relative to the lowest polymorph listed for this composition   556 meV/atom
Formation energy   668 meV/atom
Volume   14.6 Å³ per atom

Unit cell a=6.680 b=6.680 c=5.242 alpha=90.00 beta=90.00 gamma=90.00
Space group I-42d (No. 122)
Asymmetric unit:
1 Fe 0.232 0.250 0.125 (multiplicity 8)
2 Pd 0.000 0.000 0.500 (multiplicity 4)
3 W 0.000 0.000 0.000 (multiplicity 4)

---

Entry 4:
TbPr2Al9: relaxed, GGA-PBE.

Values from the calculation:
Formation energy   -352 meV/atom
Volume   20.5 Å³ per atom

Unit cell a=5.6697 b=5.6697 c=26.5720 alpha=90.00 beta=90.00 gamma=120.00
Space group R-3m (No. 166, hexagonal axes)
Asymmetric unit:
1 Tb 0.0000 0.0000 0.0000 (multiplicity 3)
2 Pr 0.0000 0.0000 0.1416 (multiplicity 6)
3 Al 0.0000 0.0000 0.3352 (multiplicity 6)
4 Al 0.0000 0.0000 0.5000 (multiplicity 3)
5 Al 0.0070 0.5035 0.9181 (multiplicity 18)

---

Entry 5:
PmDyHo2Tm2: relaxed, GGA-PBE.

Values from the calculation:
Formation energy   283 meV/atom
Volume   32.3 Å³ per atom

Unit cell a=6.498 b=17.650 c=3.379 alpha=90.00 beta=90.00 gamma=90.00
Space group Pnnm (No. 58)
Asymmetric unit:
1 Pm 0.000 0.000 0.000 (multiplicity 2)
2 Dy 0.000 0.500 0.000 (multiplicity 2)
3 Ho 0.225 0.186 0.000 (multiplicity 4)
4 Tm 0.223 0.352 0.500 (multiplicity 4)

---

Entry 6:
Be2CoSi: relaxed, GGA-PBE.

Values from the calculation:
Volume   9.5 Å³ per atom
E_form (uncorrected)   -0.27 eV/atom

Unit cell a=3.357 b=3.357 c=3.367 alpha=90.00 beta=90.00 gamma=90.00
Space group P4/mmm (No. 123)
Asymmetric unit:
1 Be 0.000 0.500 0.000 (multiplicity 2)
2 Co 0.000 0.000 0.500 (multiplicity 1)
3 Si 0.500 0.500 0.500 (multiplicity 1)

---

Entry 7:
LaAgH6Pt2: relaxed, GGA-PBE.

Values from the calculation:
Final energy   -42.92 eV/f.u.
Volume   10.7 Å³ per atom

Unit cell a=4.8472 b=4.8472 c=15.7298 alpha=90.00 beta=90.00 gamma=120.00
Space group R-3m (No. 166, hexagonal axes)
Asymmetric unit:
1 La 0.0000 0.0000 0.0000 (multiplicity 3)
2 Ag 0.0000 0.0000 0.5000 (multiplicity 3)
3 H 0.0043 0.5022 0.9369 (multiplicity 18)
4 Pt 0.0000 0.0000 0.2125 (multiplicity 6)

---

Entry 8:
Pu2ZnIr3: relaxed, GGA-PBE.

Values from the calculation:
Energy relative to the lowest polymorph listed for this composition   0 meV/atom
Formation energy   -526 meV/atom
Volume   17.9 Å³ per atom

Unit cell a=5.5211 b=5.5211 c=12.2367 alpha=90.00 beta=90.00 gamma=120.00
Space group R-3m (No. 166, hexagonal axes)
Asymmetric unit:
1 Pu 0.0000 0.0000 0.1232 (multiplicity 6)
2 Zn 0.0000 0.0000 0.5000 (multiplicity 3)
3 Ir 0.0000 0.5000 0.0000 (multiplicity 9)